a | Computed, not measured: an optimized crystal structure of MnTlP2 at the GGA-PBEsol level of DFT.

Cell lengths 7.297, 7.297, 7.297 Å; angles 136.23, 136.23, 63.63 degrees
Atoms (fractional coordinates):
Mn (0.375, 0.625, 0.750)
Mn (0.625, 0.375, 0.250)
Tl (0.125, 0.875, 0.250)
Tl (0.875, 0.125, 0.750)
P (0.000, 0.500, 0.500)
P (0.500, 0.000, 0.000)
P (0.500, 0.500, 0.000)
P (0.500, 0.500, 0.500)

Results
Total moment, μB/f.u.: 0.000

b | Computed, not measured: an optimized crystal structure of MnTlP2 at the GGA-PBEsol level of DFT.

Cell lengths 5.723, 5.723, 5.723 Å; angles 141.76, 141.76, 55.19 degrees
Atoms (fractional coordinates):
Mn (0.000, 0.000, 0.000)
Tl (0.250, 0.750, 0.500)
P (0.500, 0.500, 0.000)
P (0.750, 0.250, 0.500)

Results
Total moment, μB/f.u.: 3.725

c | Computed, not measured: an optimized crystal structure of MnTlP2 at the GGA-PBEsol level of DFT.

Cell lengths 4.805, 4.805, 4.805 Å; angles 126.43, 126.43, 79.17 degrees
Atoms (fractional coordinates):
Mn (0.000, 0.000, 0.000)
Tl (0.500, 0.500, 0.000)
P (0.250, 0.750, 0.500)
P (0.750, 0.250, 0.500)

Results
Total moment, μB/f.u.: 3.459

Most stable = a